No. 1
Entry from Alexandria via LeMat-Bulk: a relaxed structure of LaEu2Dy (PBE).

Formation energy from the elements: 172 meV per atom
Mass density: 6746 kg/m³

```
LaEu2Dy
1.0
3.6296 0.0000 0.0000
1.8148 3.1433 0.0000
1.8148 1.0478 13.0599
Eu La Dy
2 1 1
direct
0.0891 0.0891 0.7326
0.9109 0.9109 0.2674
0.0000 0.0000 0.0000
0.5000 0.5000 0.5000
```



No. 2
Entry from Alexandria via LeMat-Bulk: a relaxed structure of CsNdS2O6 (PBE).

Uncorrected formation energy: -2.005 eV/atom
Mass density: 4082 kg/m³

```
CsNdS2O6
1.0
-3.5707 3.6084 4.6458
2.7372 -4.5877 4.3375
6.2622 4.8998 -2.1361
Cs Nd S O
2 2 4 12
direct
0.1510 0.8490 0.2500
0.8490 0.1510 0.7500
0.5583 0.4417 0.2500
0.4417 0.5583 0.7500
0.3412 0.0987 0.7918
0.9013 0.6588 0.7082
0.6588 0.9013 0.2082
0.0987 0.3412 0.2918
0.9195 0.4515 0.2612
0.5485 0.0805 0.2388
0.0805 0.5485 0.7388
0.4515 0.9195 0.7612
0.1767 0.3139 0.1287
0.6861 0.8233 0.3713
0.8233 0.6861 0.8713
0.3139 0.1767 0.6287
0.2914 0.5060 0.4321
0.4940 0.7086 0.0679
0.7086 0.4940 0.5679
0.5060 0.2914 0.9321
```



No. 3
Entry from Alexandria via LeMat-Bulk: a relaxed structure of AcEu2Cu (PBE).

Formation energy from the elements: 177 meV per atom
Mass density: 6608 kg/m³

```
AcEu2Cu
1.0
-1.1978 2.8142 2.4231
0.9749 -0.1311 3.7760
9.3290 6.8100 -0.1559
Eu Ac Cu
2 1 1
direct
0.1103 0.1103 0.6692
0.8897 0.8897 0.3308
0.0000 0.0000 0.0000
0.5000 0.5000 0.5000
```



No. 4
Entry from Alexandria via LeMat-Bulk: a relaxed structure of AcInRh2 (PBE).

Formation energy from the elements: -476 meV per atom
Mass density: 10806 kg/m³

```
AcInRh2
1.0
3.7642 0.0000 0.0000
0.0000 4.7281 0.0000
0.0000 0.0000 4.7281
Ac Rh In
1 2 1
direct
0.5000 0.0000 0.0000
0.0000 0.0000 0.5000
0.0000 0.5000 0.0000
0.5000 0.5000 0.5000
```



No. 5
Entry from Alexandria via LeMat-Bulk: a relaxed structure of Nb5V3H12 (PBE).

Energy: -6.0266 eV per atom
Mass density: 6313 kg/m³

```
Nb5V3H12
1.0
-6.3802 3.9350 -5.8534
-4.3675 -6.1888 5.7512
4.1360 6.7961 5.2116
V Nb H
12 20 48
direct
0.7500 0.3750 0.1250
0.8750 0.7500 0.1250
0.3750 0.7500 0.6250
0.2500 0.1250 0.3750
0.8750 0.1250 0.2500
0.3750 0.6250 0.2500
0.6250 0.3750 0.7500
0.1250 0.8750 0.7500
0.7500 0.8750 0.6250
0.6250 0.2500 0.3750
0.1250 0.2500 0.8750
0.2500 0.6250 0.8750
0.1250 0.3750 0.2500
0.0000 0.5000 0.0000
0.0000 0.0000 0.0000
0.3750 0.2500 0.1250
0.5000 0.0000 0.5000
0.5000 0.5000 0.0000
0.1250 0.7500 0.3750
0.7500 0.1250 0.8750
0.7500 0.6250 0.3750
0.3750 0.1250 0.7500
0.6250 0.8750 0.2500
0.5000 0.5000 0.5000
0.5000 0.0000 0.0000
0.0000 0.0000 0.5000
0.2500 0.3750 0.6250
0.2500 0.8750 0.1250
0.0000 0.5000 0.5000
0.8750 0.2500 0.6250
0.6250 0.7500 0.8750
0.8750 0.6250 0.7500
0.7330 0.1564 0.0769
0.3438 0.5769 0.4204
0.9231 0.3436 0.2670
0.5769 0.2330 0.1564
0.5766 0.7330 0.6562
0.9231 0.5796 0.1562
0.3438 0.7670 0.4234
0.0796 0.9234 0.1564
0.5796 0.9231 0.6562
0.7330 0.5766 0.1562
0.7670 0.4231 0.3436
0.8438 0.9204 0.0769
0.1564 0.7330 0.5769
0.3436 0.4204 0.0766
0.0766 0.9204 0.3436
0.4234 0.1564 0.5796
0.0766 0.1562 0.2330
0.4231 0.6562 0.0796
0.8438 0.9234 0.2670
0.1564 0.4234 0.0796
0.3436 0.9231 0.7670
0.5796 0.6564 0.4234
0.9204 0.8438 0.5769
0.7670 0.3438 0.9234
0.4204 0.3436 0.5766
0.0796 0.1562 0.4231
0.2330 0.6562 0.0766
0.1562 0.0766 0.7330
0.6564 0.0769 0.2330
0.8436 0.5766 0.9204
0.5769 0.3438 0.9204
0.5766 0.8436 0.4204
0.9234 0.8438 0.7670
0.9234 0.0796 0.6564
0.8436 0.2670 0.4231
0.1562 0.0796 0.9231
0.6564 0.5796 0.9234
0.4204 0.0769 0.3438
0.2670 0.4234 0.8438
0.2330 0.5769 0.6564
0.9204 0.0766 0.8436
0.6562 0.2330 0.5766
0.4231 0.7670 0.8436
0.0769 0.4204 0.8438
0.4234 0.2670 0.3438
0.0769 0.6564 0.7330
0.6562 0.4231 0.5796
0.2670 0.8436 0.9231
```



No. 6
Entry from Alexandria via LeMat-Bulk: a relaxed structure of Pr3SmSe4 (PBE).

Uncorrected formation energy: -1.835 eV/atom
Mass density: 6831 kg/m³

```
Pr3SmSe4
1.0
-1.5441 3.8579 0.5746
-5.3007 -1.3854 -4.9428
-2.4025 -1.9589 6.6962
Pr Sm Se
3 1 4
direct
0.0000 0.0000 0.5000
0.5000 0.5000 0.5000
0.0000 0.5000 0.0000
0.5000 0.0000 0.0000
0.0000 0.2444 0.2444
0.5000 0.7529 0.2471
0.0000 0.7556 0.7556
0.5000 0.2471 0.7529
```